# 1
A geometry-optimized ScAgHg3 structure, computed with PBE.

Output
The relative energy among the computed polymorphs is 108 meV per atom.

Lattice parameters (Å, degrees): 7.645 7.407 8.173 90.00 90.00 90.00
Fractional coordinates of all 20 atoms:
Hg 0.644 0.636 0.548
Sc 0.171 0.102 0.250
Hg 0.144 0.864 0.548
Sc 0.329 0.602 0.750
Sc 0.829 0.898 0.750
Sc 0.671 0.398 0.250
Hg 0.619 0.258 0.750
Ag 0.000 0.500 0.000
Hg 0.881 0.758 0.250
Ag 0.500 0.000 0.500
Ag 0.500 0.000 0.000
Hg 0.144 0.864 0.952
Hg 0.856 0.136 0.048
Hg 0.119 0.242 0.750
Hg 0.356 0.364 0.452
Hg 0.381 0.742 0.250
Hg 0.856 0.136 0.452
Hg 0.644 0.636 0.952
Ag 0.000 0.500 0.500
Hg 0.356 0.364 0.048



# 2
A geometry-optimized Be2BiPdN structure, computed with PBE.

Output
The formation energy without anion corrections is 1.24 eV per formula unit.

Lattice parameters (Å, degrees): 3.749 5.023 3.749 90.00 90.00 90.00
Fractional coordinates of all 5 atoms:
Pd 0.000 0.500 0.000
N 0.000 0.000 0.000
Be 0.000 0.000 0.500
Be 0.500 0.000 0.000
Bi 0.500 0.500 0.500



# 3
A geometry-optimized LaEuDyHo structure, computed with PBE.

Lattice parameters (Å, degrees): 5.827 5.827 5.827 60.00 60.00 60.00
Fractional coordinates of all 4 atoms:
La 0.250 0.250 0.250
Ho 0.000 0.000 0.000
Dy 0.750 0.750 0.750
Eu 0.500 0.500 0.500



# 4
A geometry-optimized Ba2Cr3 structure, computed with PBE.

Lattice parameters (Å, degrees): 4.319 4.319 10.042 90.00 90.00 120.00
Fractional coordinates of all 5 atoms:
Ba 0.333 0.667 0.707
Cr 0.333 0.667 0.063
Cr 0.000 0.000 0.000
Ba 0.667 0.333 0.293
Cr 0.667 0.333 0.937



# 5
A geometry-optimized RbNa3In structure, computed with PBE.

Output
The relative energy among the computed polymorphs is 4 meV per atom.

Lattice parameters (Å, degrees): 7.939 10.550 12.027 116.97 90.00 90.00
Fractional coordinates of all 20 atoms:
Na 0.588 0.322 0.928
In 0.841 0.035 0.463
Na 0.489 0.182 0.575
Na 0.676 0.986 0.210
Na 0.824 0.986 0.710
Na 0.088 0.678 0.572
Rb 0.552 0.637 0.729
Na 0.011 0.182 0.075
Na 0.511 0.818 0.425
Rb 0.948 0.637 0.229
In 0.659 0.035 0.963
Na 0.989 0.818 0.925
Na 0.912 0.322 0.428
Rb 0.052 0.363 0.771
Na 0.176 0.014 0.290
Na 0.324 0.014 0.790
In 0.159 0.965 0.537
In 0.341 0.965 0.037
Na 0.412 0.678 0.072
Rb 0.448 0.363 0.271



# 6
A geometry-optimized FeTc4 structure, computed with PBE.

Output
The relative energy among the computed polymorphs is 1086 meV per atom.

Lattice parameters (Å, degrees): 4.735 4.735 4.735 109.47 109.47 109.47
Fractional coordinates of all 5 atoms:
Tc 0.500 0.000 0.000
Tc 0.000 0.000 0.500
Tc 0.000 0.500 0.000
Fe 0.000 0.000 0.000
Tc 0.500 0.500 0.500



# 7
A geometry-optimized TeSe structure, computed with PBE.

Output
The formation energy without anion corrections is 0.54 eV per formula unit.

Lattice parameters (Å, degrees): 12.109 12.109 3.544 90.00 90.00 120.00
Fractional coordinates of all 12 atoms:
Se 0.900 0.551 0.250
Te 0.226 0.341 0.750
Te 0.341 0.115 0.250
Te 0.659 0.885 0.750
Se 0.100 0.449 0.750
Te 0.885 0.226 0.250
Te 0.115 0.774 0.750
Se 0.349 0.900 0.750
Se 0.551 0.651 0.750
Te 0.774 0.659 0.250
Se 0.449 0.349 0.250
Se 0.651 0.100 0.250



# 8
A geometry-optimized Pm2PrHoTm4 structure, computed with PBE.

Lattice parameters (Å, degrees): 9.488 9.488 11.795 128.43 128.43 88.41
Fractional coordinates of all 16 atoms:
Ho 0.500 0.500 0.500
Pm 0.000 0.000 0.500
Pr 0.000 0.500 0.500
Pr 0.000 0.500 0.000
Pm 0.500 0.500 0.000
Tm 0.746 0.253 0.500
Tm 0.249 0.249 0.496
Tm 0.247 0.754 0.000
Pm 0.500 0.000 0.500
Tm 0.251 0.251 0.004
Tm 0.753 0.246 0.000
Tm 0.254 0.747 0.500
Pm 0.500 0.000 0.000
Tm 0.749 0.749 0.996
Tm 0.751 0.751 0.504
Ho 0.000 0.000 0.000



# 9
A geometry-optimized La2Pr2Nd2Mg structure, computed with PBE.

Lattice parameters (Å, degrees): 3.582 6.238 12.105 109.68 90.00 106.68
Fractional coordinates of all 7 atoms:
Nd 0.332 0.665 0.919
La 0.235 0.470 0.363
Pr 0.450 0.899 0.237
Pr 0.550 0.101 0.763
Nd 0.668 0.335 0.081
Mg 0.000 0.000 0.500
La 0.765 0.530 0.637



# 10
A geometry-optimized TiNbCoBr structure, computed with PBE.

Output
The relative energy among the computed polymorphs is 16 meV per atom. The formation energy without anion corrections is -0.75 eV per formula unit.

Lattice parameters (Å, degrees): 3.708 3.727 6.829 88.25 89.74 60.20
Fractional coordinates of all 4 atoms:
Co 0.619 0.405 0.572
Nb 0.294 0.048 0.729
Br 0.942 0.760 0.035
Ti 0.946 0.755 0.422



# 11
A geometry-optimized KHfSe2Br structure, computed with PBE.

Output
The relative energy among the computed polymorphs is 2082 meV per atom. The formation energy without anion corrections is 4.19 eV per formula unit.

Lattice parameters (Å, degrees): 5.472 5.472 5.322 90.00 90.00 90.00
Fractional coordinates of all 5 atoms:
Se 0.000 0.500 0.000
K 0.000 0.000 0.000
Hf 0.500 0.500 0.500
Br 0.000 0.000 0.500
Se 0.500 0.000 0.000



# 12
A geometry-optimized SrEuScO4 structure, computed with PBE.

Output
The formation energy without anion corrections is -20.60 eV per formula unit.

Lattice parameters (Å, degrees): 6.875 6.875 6.875 145.63 145.63 49.39
Fractional coordinates of all 7 atoms:
O 0.007 0.507 0.500
Sc 0.498 0.498 0.000
O 0.507 0.007 0.500
Sr 0.856 0.856 0.000
O 0.669 0.669 0.000
O 0.323 0.323 0.000
Eu 0.140 0.140 0.000



# 13
A geometry-optimized LaBe2Se structure, computed with PBE.

Output
The formation energy without anion corrections is -0.39 eV per formula unit.

Lattice parameters (Å, degrees): 3.376 3.376 6.380 90.00 90.00 90.00
Fractional coordinates of all 4 atoms:
Se 0.500 0.500 0.814
Be 0.000 0.000 0.032
Be 0.500 0.500 0.160
La 0.000 0.000 0.494



# 14
A geometry-optimized PrGdZnPt structure, computed with PBE.

Lattice parameters (Å, degrees): 5.115 5.115 5.115 60.00 60.00 60.00
Fractional coordinates of all 4 atoms:
Gd 0.000 0.000 0.000
Pt 0.750 0.750 0.750
Zn 0.250 0.250 0.250
Pr 0.500 0.500 0.500



# 15
A geometry-optimized HoGe2Ir3 structure, computed with PBE.

Lattice parameters (Å, degrees): 3.976 3.976 8.259 103.93 103.93 90.00
Fractional coordinates of all 6 atoms:
Ir 0.500 0.500 0.000
Ir 0.750 0.250 0.500
Ir 0.250 0.750 0.500
Ge 0.655 0.655 0.311
Ge 0.345 0.345 0.689
Ho 0.000 0.000 0.000



# 16
A geometry-optimized Y4P2Se structure, computed with PBE.

Output
The formation energy without anion corrections is -10.21 eV per formula unit.

Lattice parameters (Å, degrees): 3.975 3.975 13.255 81.38 81.38 60.00
Fractional coordinates of all 7 atoms:
Y 0.286 0.286 0.141
Se 0.000 0.000 0.000
Y 0.873 0.873 0.381
Y 0.127 0.127 0.619
P 0.420 0.420 0.740
P 0.580 0.580 0.260
Y 0.714 0.714 0.859



# 17
A geometry-optimized Na4Y2Hg structure, computed with PBE.

Lattice parameters (Å, degrees): 5.617 5.617 9.266 72.35 72.35 90.00
Fractional coordinates of all 7 atoms:
Y 0.608 0.608 0.784
Na 0.000 0.500 0.000
Na 0.821 0.821 0.358
Na 0.179 0.179 0.642
Y 0.392 0.392 0.216
Na 0.500 0.000 0.000
Hg 0.000 0.000 0.000



# 18
A geometry-optimized Y2CuP structure, computed with PBE.

Lattice parameters (Å, degrees): 5.662 5.662 3.978 90.00 90.00 41.41
Fractional coordinates of all 4 atoms:
Y 0.981 0.981 0.875
P 0.699 0.699 0.875
Y 0.266 0.266 0.375
Cu 0.554 0.554 0.375



# 19
A geometry-optimized HoThCuRh structure, computed with PBE.

Output
The relative energy among the computed polymorphs is 106 meV per atom.

Lattice parameters (Å, degrees): 4.975 4.975 4.975 60.00 60.00 60.00
Fractional coordinates of all 4 atoms:
Cu 0.250 0.250 0.250
Ho 0.000 0.000 0.000
Th 0.500 0.500 0.500
Rh 0.750 0.750 0.750



# 20
A geometry-optimized TiAlPt4 structure, computed with PBE.

Lattice parameters (Å, degrees): 3.968 4.330 7.090 79.15 73.75 62.73
Fractional coordinates of all 6 atoms:
Pt 0.127 0.115 0.630
Ti 0.500 0.500 0.500
Pt 0.373 0.374 0.880
Al 0.000 0.000 0.000
Pt 0.627 0.626 0.120
Pt 0.873 0.885 0.370



no.,total energy (eV/atom)
1,-2.075
2,-4.723
3,-5.950
4,-5.997
5,-1.537
6,-8.815
7,-3.044
8,-4.173
9,-4.296
10,-6.874
11,-3.100
12,-8.389
13,-4.065
14,-7.235
15,-7.140
16,-7.196
17,-2.118
18,-6.471
19,-6.361
20,-6.716